The following is a DFT calculation (GGA+U) of crystalline FeF at its relaxed geometry.

## Properties
- Total magnetization: 14.0 μB per cell
- V: 170.9 Å³ per cell
- Electronic total energy: -4.66 eV/atom
- Space-group type: I-43m (217)

```
FeF
1.0
-3.496 3.496 3.496
3.496 -3.496 3.496
3.496 3.496 -3.496
Fe F
4 4
direct
0.000 0.000 0.259
0.000 0.259 0.000
0.259 0.000 0.000
0.741 0.741 0.741
0.000 0.000 0.588
0.000 0.588 0.000
0.412 0.412 0.412
0.588 0.000 0.000
```